DFT (PBE-GGA) results for a geometry-optimized Ir3PtRh structure.

For the formation energy, the calculation gives 2.111 eV/atom. The value obtained for the total energy is -29.4 eV/cell. Its space group is Pm-3m, No. 221. As for the crystal system: cubic. The value obtained for the volume is 20.11 Å³ per atom.

Lattice parameters (Å, degrees): 4.6504 4.6504 4.6504 90.00 90.00 90.00
Last column: nearest neighbours and their distance in Å.
Fractional positions:
Ir: 0.0000 0.0000 0.5000  2 Rh 2.33
Ir: 0.0000 0.5000 0.0000  2 Rh 2.33
Ir: 0.5000 0.0000 0.0000  2 Rh 2.33
Pt: 0.5000 0.5000 0.5000  12 Ir 3.29
Rh: 0.0000 0.0000 0.0000  6 Ir 2.33